i:
Entry from Alexandria via LeMat-Bulk: a geometry-optimized Tb4Al2Tl structure (GGA-PBE).

- Spin magnetization: 0.0 μB/f.u.

```
7
Lattice="2.532 1.462 9.309 -2.532 1.462 9.309 0.000 -2.924 9.309" Properties=species:S:1:pos:R:3 pbc="T T T"
Tb 0.000 0.000 3.292
Tb 0.000 0.000 8.303
Tb 0.000 0.000 19.624
Tb 0.000 0.000 24.634
Al 0.000 0.000 11.276
Al 0.000 0.000 16.651
Tl 0.000 0.000 13.963
```



ii:
Entry from Alexandria via LeMat-Bulk: a geometry-optimized Tb4Al2Tl structure (GGA-PBE).

- Spin magnetization: 0.0 μB/f.u.

```
7
Lattice="2.580 1.489 8.375 -2.580 1.489 8.375 0.000 -2.979 8.375" Properties=species:S:1:pos:R:3 pbc="T T T"
Tb 0.000 0.000 2.915
Tb 0.000 0.000 9.282
Tb 0.000 0.000 15.844
Tb 0.000 0.000 22.211
Al 0.000 0.000 6.257
Al 0.000 0.000 18.869
Tl 0.000 0.000 12.563
```



According to the calculations, the structures order from most to least stable as ii, i.



i:
Entry from Alexandria via LeMat-Bulk: a geometry-optimized Tb4Tm5Al structure (GGA-PBE).

- Spin magnetization: 0.0 μB/f.u.

```
10
Lattice="-5.250 5.250 2.804 5.250 -5.250 2.804 5.250 5.250 -2.804" Properties=species:S:1:pos:R:3 pbc="T T T"
Tb 3.289 0.000 0.000
Tb 7.211 0.000 0.000
Tb 0.000 3.289 0.000
Tb 0.000 7.211 0.000
Tm 0.000 0.000 1.157
Tm 3.335 3.335 0.056
Tm 1.915 -1.915 2.860
Tm -1.915 1.915 2.860
Tm 1.915 1.915 2.860
Al 0.000 0.000 4.048
```



ii:
Entry from Alexandria via LeMat-Bulk: a geometry-optimized Tb4Tm5Al structure (GGA-PBE).

- Spin magnetization: 0.0 μB/f.u.

```
10
Lattice="3.507 0.000 0.000 0.000 3.507 0.000 0.000 0.000 23.910" Properties=species:S:1:pos:R:3 pbc="T T T"
Tb 0.000 0.000 2.508
Tb 0.000 0.000 7.534
Tb 0.000 0.000 16.376
Tb 0.000 0.000 21.402
Tm 1.753 1.753 0.000
Tm 1.753 1.753 5.021
Tm 1.753 1.753 10.075
Tm 1.753 1.753 13.835
Tm 1.753 1.753 18.889
Al 0.000 0.000 11.955
```



According to the calculations, the structures order from most to least stable as ii, i.



i:
Entry from Alexandria via LeMat-Bulk: a geometry-optimized Tb3Tm2Al2 structure (GGA-PBE).

- Spin magnetization: 0.4 μB/f.u.

```
7
Lattice="3.439 0.000 0.000 0.000 3.439 0.000 -1.714 0.000 16.167" Properties=species:S:1:pos:R:3 pbc="T T T"
Tb 0.000 0.000 0.000
Tb 0.001 0.000 4.019
Tb 1.725 0.000 12.148
Tm 0.004 1.720 9.571
Tm 1.721 1.720 6.596
Al 0.006 1.720 14.149
Al 1.720 1.720 2.018
```



ii:
Entry from Alexandria via LeMat-Bulk: a geometry-optimized Tb3Tm2Al2 structure (GGA-PBE).

- Spin magnetization: 0.0 μB/f.u.

```
7
Lattice="4.546 -2.626 0.000 4.546 2.626 0.000 -3.037 0.000 7.766" Properties=species:S:1:pos:R:3 pbc="T T T"
Tb 0.000 0.000 0.000
Tb -0.003 0.000 3.587
Tb 6.058 0.000 4.179
Tm 3.027 0.000 2.005
Tm 3.028 0.000 5.761
Al -0.005 0.000 6.603
Al 6.059 0.000 1.163
```



According to the calculations, the structures order from most to least stable as ii, i.



i:
Entry from Alexandria via LeMat-Bulk: a geometry-optimized TbTm8Al2 structure (GGA-PBE).

- Spin magnetization: 0.0 μB/f.u.

```
11
Lattice="8.072 -2.556 0.000 8.072 2.556 0.000 -3.271 0.000 7.395" Properties=species:S:1:pos:R:3 pbc="T T T"
Tb 0.000 0.000 0.000
Tm 0.215 0.000 3.499
Tm -0.066 0.000 7.034
Tm 3.051 0.000 5.753
Tm 6.293 0.000 1.963
Tm 6.581 0.000 5.432
Tm 9.822 0.000 1.642
Tm 12.939 0.000 0.361
Tm 12.658 0.000 3.896
Al 3.269 0.000 2.643
Al 9.604 0.000 4.752
```



ii:
Entry from Alexandria via LeMat-Bulk: a geometry-optimized TbTm8Al2 structure (GGA-PBE).

- Spin magnetization: 0.0 μB/f.u.

```
11
Lattice="4.346 -7.228 0.000 4.346 7.228 0.000 -2.113 0.000 5.053" Properties=species:S:1:pos:R:3 pbc="T T T"
Tb 0.000 0.000 0.000
Tm 0.509 1.716 3.098
Tm 4.346 4.000 0.000
Tm 0.509 -1.716 3.098
Tm 3.077 0.000 1.029
Tm 3.502 0.000 4.024
Tm 6.070 1.716 1.955
Tm 4.346 -4.000 0.000
Tm 6.070 -1.716 1.955
Al 3.290 2.776 2.526
Al 3.290 -2.776 2.526
```



According to the calculations, the structures order from most to least stable as i, ii.



i:
Entry from Alexandria via LeMat-Bulk: a geometry-optimized Tb6TmAl structure (GGA-PBE).

- Spin magnetization: 0.0 μB/f.u.

```
8
Lattice="4.863 0.000 0.000 0.000 4.863 0.000 0.000 0.000 9.926" Properties=species:S:1:pos:R:3 pbc="T T T"
Tb 0.000 0.000 0.000
Tb 0.000 0.000 4.963
Tb 0.000 2.431 2.382
Tb 0.000 2.431 7.544
Tb 2.431 0.000 2.382
Tb 2.431 0.000 7.544
Tm 2.431 2.431 4.963
Al 2.431 2.431 0.000
```



ii:
Entry from Alexandria via LeMat-Bulk: a geometry-optimized Tb6TmAl structure (GGA-PBE).

- Spin magnetization: 0.0 μB/f.u.

```
8
Lattice="4.578 2.643 3.361 -4.578 2.643 3.361 0.000 -5.286 3.361" Properties=species:S:1:pos:R:3 pbc="T T T"
Tb -3.317 -0.836 4.550
Tb -0.935 -3.290 5.532
Tb -2.382 2.455 5.532
Tb 2.382 -2.455 4.550
Tb 0.935 3.290 4.550
Tb 3.317 0.836 5.532
Tm 0.000 0.000 5.041
Al 0.000 0.000 0.000
```



According to the calculations, the structures order from most to least stable as i, ii.



i:
Entry from Alexandria via LeMat-Bulk: a geometry-optimized Tb2TmAl9 structure (GGA-PBE).

- Spin magnetization: 0.0 μB/f.u.

```
12
Lattice="4.256 0.000 0.000 0.000 4.256 0.000 0.000 0.000 12.766" Properties=species:S:1:pos:R:3 pbc="T T T"
Tb 0.000 0.000 2.141
Tb 0.000 0.000 10.625
Tm 0.000 0.000 6.383
Al 0.000 2.128 0.000
Al 0.000 2.128 4.283
Al 0.000 2.128 8.483
Al 2.128 0.000 0.000
Al 2.128 0.000 4.283
Al 2.128 0.000 8.483
Al 2.128 2.128 2.133
Al 2.128 2.128 6.383
Al 2.128 2.128 10.633
```



ii:
Entry from Alexandria via LeMat-Bulk: a geometry-optimized Tb2TmAl9 structure (GGA-PBE).

- Spin magnetization: 0.0 μB/f.u.

```
12
Lattice="2.785 1.608 8.750 -2.785 1.608 8.750 0.000 -3.215 8.750" Properties=species:S:1:pos:R:3 pbc="T T T"
Tb 0.000 0.000 3.732
Tb 0.000 0.000 22.519
Tm 0.000 0.000 0.000
Al -1.424 -0.822 10.937
Al 0.000 0.000 8.802
Al 0.000 -1.644 15.314
Al -1.424 0.822 15.314
Al 0.000 0.000 13.125
Al 1.424 -0.822 10.936
Al 0.000 1.644 10.936
Al 0.000 0.000 17.448
Al 1.424 0.822 15.314
```



According to the calculations, the structures order from most to least stable as i, ii.